1.
Below is LaFe6Co6B6 after structural relaxation, with properties calculated at the PBEsol level.

Cell and atoms, written as CIF:
```
data_LaFe6Co6B6
_chemical_formula_sum 'La3 Fe18 Co18 B18'
_cell_length_a 9.3421
_cell_length_b 9.3421
_cell_length_c 7.3707
_cell_angle_alpha 90.00
_cell_angle_beta 90.00
_cell_angle_gamma 120.00
_symmetry_space_group_name_H-M 'R -3 m'
_symmetry_Int_Tables_number 166
_symmetry_space_group_name_Hall '-R 3 2"'
loop_
_atom_site_label
_atom_site_type_symbol
_atom_site_fract_x
_atom_site_fract_y
_atom_site_fract_z
La1 La 0.0000 0.0000 0.0000
Fe1 Fe 0.0000 0.3676 0.5000
Co1 Co 0.0908 0.1816 0.3668
B1 B 0.0371 0.5185 0.2853
```

Results
- energy of formation (kJ/mol of atoms) = -32.8

---

2.
Below is TlFe2CoB after structural relaxation, with properties calculated at the PBEsol level.

Cell and atoms, written as CIF:
```
data_TlFe2CoB
_chemical_formula_sum 'Tl1 Fe2 Co1 B1'
_cell_length_a 4.288
_cell_length_b 4.288
_cell_length_c 4.785
_cell_angle_alpha 90.00
_cell_angle_beta 90.00
_cell_angle_gamma 90.00
_symmetry_space_group_name_H-M 'P 4/m m m'
_symmetry_Int_Tables_number 123
_symmetry_space_group_name_Hall '-P 4 2'
loop_
_atom_site_label
_atom_site_type_symbol
_atom_site_fract_x
_atom_site_fract_y
_atom_site_fract_z
Tl1 Tl 0.000 0.000 0.000
Fe1 Fe 0.000 0.500 0.500
Co1 Co 0.000 0.000 0.500
B1 B 0.500 0.500 0.000
```

Results
- energy of formation (kJ/mol of atoms) = 166.8

---

3.
Below is GaCoB2Te after structural relaxation, with properties calculated at the PBEsol level.

Cell and atoms, written as CIF:
```
data_GaCoB2Te
_chemical_formula_sum 'Ga1 Co1 B2 Te1'
_cell_length_a 4.400
_cell_length_b 4.400
_cell_length_c 4.648
_cell_angle_alpha 90.00
_cell_angle_beta 90.00
_cell_angle_gamma 90.00
_symmetry_space_group_name_H-M 'P 4/m m m'
_symmetry_Int_Tables_number 123
_symmetry_space_group_name_Hall '-P 4 2'
loop_
_atom_site_label
_atom_site_type_symbol
_atom_site_fract_x
_atom_site_fract_y
_atom_site_fract_z
Ga1 Ga 0.000 0.000 0.000
Co1 Co 0.500 0.500 0.000
B1 B 0.000 0.500 0.500
Te1 Te 0.500 0.500 0.500
```

Results
- ΔE_f (raw) (eV/atom) = 1.890

---

The following magnetization values (in μB/atom) correspond, in order, to the records above: 0.435; 1.459; 0.001.
The following energy values (in eV per atom) correspond, in order, to the records above: -8.11; -5.33; -3.84.
The following calculated density values (in g cm⁻³) correspond, in order, to the records above: 8.0; 7.3; 5.1.